Compound: RbTl2Si
Source: the Alexandria database
Functional: PBE-GGA
Structure: relaxed

CIF file:
```
data_RbTl2Si
_cell_length_a 8.916
_cell_length_b 8.916
_cell_length_c 7.114
_cell_angle_alpha 90.00
_cell_angle_beta 90.00
_cell_angle_gamma 90.00
_space_group_name_H-M_alt 'I -4 2 d'
_space_group_IT_number 122
_space_group_name_Hall 'I -4 2bw'
loop_
_atom_site_label
_atom_site_fract_x
_atom_site_fract_y
_atom_site_fract_z
_atom_site_occupancy
Rb1 0.000 0.000 0.000 1
Tl1 0.163 0.250 0.625 1
Si1 0.000 0.000 0.500 1
```

As for the total energy: -2.55 eV/atom. For the density of states at the Fermi level, the calculation gives 2.9 states/eV/f.u. For the uncorrected formation energy, the calculation gives 0.234 eV per atom. The total magnetic moment comes out at 0.0 μB per formula unit. For the excess energy over the best structure of this formula in the dataset, the calculation gives 0 meV per atom. The value obtained for the calculated volume is 35.3 A^3/atom.



Compound: RbY2TlSi
Source: the Alexandria database
Functional: PBE-GGA
Structure: relaxed

CIF file:
```
data_RbY2TlSi
_cell_length_a 5.499
_cell_length_b 5.499
_cell_length_c 6.448
_cell_angle_alpha 90.00
_cell_angle_beta 90.00
_cell_angle_gamma 90.00
_space_group_name_H-M_alt 'P 4/m m m'
_space_group_IT_number 123
_space_group_name_Hall '-P 4 2'
loop_
_atom_site_label
_atom_site_fract_x
_atom_site_fract_y
_atom_site_fract_z
_atom_site_occupancy
Rb1 0.000 0.000 0.000 1
Y1 0.000 0.500 0.500 1
Tl1 0.500 0.500 0.000 1
Si1 0.000 0.000 0.500 1
```

As for the total energy: -4.15 eV/atom. For the density of states at the Fermi level, the calculation gives 6.5 states/eV/f.u. For the uncorrected formation energy, the calculation gives 0.187 eV per atom. The total magnetic moment comes out at 0.0 μB per formula unit. The value obtained for the calculated volume is 39.0 A^3/atom.



Compound: RbVSi3
Source: the Alexandria database
Functional: PBE-GGA
Structure: relaxed

CIF file:
```
data_RbVSi3
_cell_length_a 5.266
_cell_length_b 5.266
_cell_length_c 5.266
_cell_angle_alpha 90.00
_cell_angle_beta 90.00
_cell_angle_gamma 90.00
_space_group_name_H-M_alt 'P m -3 m'
_space_group_IT_number 221
_space_group_name_Hall '-P 4 2 3'
loop_
_atom_site_label
_atom_site_fract_x
_atom_site_fract_y
_atom_site_fract_z
_atom_site_occupancy
Rb1 0.000 0.000 0.000 1
V1 0.500 0.500 0.500 1
Si1 0.000 0.000 0.500 1
```

As for the total energy: -2.73 eV/atom. For the density of states at the Fermi level, the calculation gives 6.8 states/eV/f.u. For the uncorrected formation energy, the calculation gives 2.542 eV per atom. The total magnetic moment comes out at 3.3 μB per formula unit. For the excess energy over the best structure of this formula in the dataset, the calculation gives 2350 meV per atom. The value obtained for the calculated volume is 29.2 A^3/atom.



Compound: RbVSi3
Source: the Alexandria database
Functional: PBE-GGA
Structure: relaxed

CIF file:
```
data_RbVSi3
_cell_length_a 4.744
_cell_length_b 4.744
_cell_length_c 4.744
_cell_angle_alpha 90.00
_cell_angle_beta 90.00
_cell_angle_gamma 90.00
_space_group_name_H-M_alt 'P m -3 m'
_space_group_IT_number 221
_space_group_name_Hall '-P 4 2 3'
loop_
_atom_site_label
_atom_site_fract_x
_atom_site_fract_y
_atom_site_fract_z
_atom_site_occupancy
Rb1 0.000 0.000 0.000 1
V1 0.500 0.500 0.500 1
Si1 0.000 0.500 0.500 1
```

As for the total energy: -5.08 eV/atom. For the density of states at the Fermi level, the calculation gives 2.5 states/eV/f.u. For the uncorrected formation energy, the calculation gives 0.192 eV per atom. The total magnetic moment comes out at 0.0 μB per formula unit. For the excess energy over the best structure of this formula in the dataset, the calculation gives 0 meV per atom. The value obtained for the calculated volume is 21.3 A^3/atom.



Compound: RbV2SiW
Source: the Alexandria database
Functional: PBE-GGA
Structure: relaxed

CIF file:
```
data_RbV2SiW
_cell_length_a 4.418
_cell_length_b 4.418
_cell_length_c 4.830
_cell_angle_alpha 90.00
_cell_angle_beta 90.00
_cell_angle_gamma 90.00
_space_group_name_H-M_alt 'P 4/m m m'
_space_group_IT_number 123
_space_group_name_Hall '-P 4 2'
loop_
_atom_site_label
_atom_site_fract_x
_atom_site_fract_y
_atom_site_fract_z
_atom_site_occupancy
Rb1 0.000 0.000 0.000 1
V1 0.000 0.500 0.000 1
Si1 0.500 0.500 0.500 1
W1 0.000 0.000 0.500 1
```

As for the total energy: -4.39 eV/atom. For the density of states at the Fermi level, the calculation gives 7.2 states/eV/f.u. For the uncorrected formation energy, the calculation gives 3.123 eV per atom. The total magnetic moment comes out at 0.4 μB per formula unit. The value obtained for the calculated volume is 18.9 A^3/atom.



Compound: Rb2SiW
Source: the Alexandria database
Functional: PBE-GGA
Structure: relaxed

CIF file:
```
data_Rb2SiW
_cell_length_a 13.459
_cell_length_b 13.459
_cell_length_c 4.821
_cell_angle_alpha 90.00
_cell_angle_beta 90.00
_cell_angle_gamma 90.00
_space_group_name_H-M_alt 'I -4 2 d'
_space_group_IT_number 122
_space_group_name_Hall 'I -4 2bw'
loop_
_atom_site_label
_atom_site_fract_x
_atom_site_fract_y
_atom_site_fract_z
_atom_site_occupancy
Rb1 0.053 0.750 0.125 1
Si1 0.000 0.000 0.000 1
W1 0.000 0.000 0.500 1
```

As for the total energy: -3.94 eV/atom. For the density of states at the Fermi level, the calculation gives 3.8 states/eV/f.u. For the uncorrected formation energy, the calculation gives 1.135 eV per atom. The total magnetic moment comes out at 2.7 μB per formula unit. The value obtained for the calculated volume is 54.6 A^3/atom.



Compound: RbSiW2
Source: the Alexandria database
Functional: PBE-GGA
Structure: relaxed

CIF file:
```
data_RbSiW2
_cell_length_a 4.910
_cell_length_b 4.910
_cell_length_c 18.163
_cell_angle_alpha 90.00
_cell_angle_beta 90.00
_cell_angle_gamma 90.00
_space_group_name_H-M_alt 'I -4 2 d'
_space_group_IT_number 122
_space_group_name_Hall 'I -4 2bw'
loop_
_atom_site_label
_atom_site_fract_x
_atom_site_fract_y
_atom_site_fract_z
_atom_site_occupancy
Rb1 0.000 0.000 0.000 1
Si1 0.000 0.000 0.500 1
W1 0.023 0.750 0.625 1
```

As for the total energy: -6.52 eV/atom. For the density of states at the Fermi level, the calculation gives 3.5 states/eV/f.u. For the uncorrected formation energy, the calculation gives 1.551 eV per atom. The total magnetic moment comes out at 0.0 μB per formula unit. The value obtained for the calculated volume is 27.4 A^3/atom.



Compound: Rb3SiW
Source: the Alexandria database
Functional: PBE-GGA
Structure: relaxed

CIF file:
```
data_Rb3SiW
_cell_length_a 6.730
_cell_length_b 6.730
_cell_length_c 6.730
_cell_angle_alpha 90.00
_cell_angle_beta 90.00
_cell_angle_gamma 90.00
_space_group_name_H-M_alt 'P m -3 m'
_space_group_IT_number 221
_space_group_name_Hall '-P 4 2 3'
loop_
_atom_site_label
_atom_site_fract_x
_atom_site_fract_y
_atom_site_fract_z
_atom_site_occupancy
Rb1 0.000 0.000 0.500 1
Si1 0.000 0.000 0.000 1
W1 0.500 0.500 0.500 1
```

As for the total energy: -2.59 eV/atom. For the density of states at the Fermi level, the calculation gives 2.7 states/eV/f.u. For the uncorrected formation energy, the calculation gives 1.663 eV per atom. The total magnetic moment comes out at 7.0 μB per formula unit. For the excess energy over the best structure of this formula in the dataset, the calculation gives 0 meV per atom. The value obtained for the calculated volume is 61.0 A^3/atom.



Compound: RbSiW3
Source: the Alexandria database
Functional: PBE-GGA
Structure: relaxed

CIF file:
```
data_RbSiW3
_cell_length_a 4.739
_cell_length_b 4.739
_cell_length_c 4.739
_cell_angle_alpha 90.00
_cell_angle_beta 90.00
_cell_angle_gamma 90.00
_space_group_name_H-M_alt 'P m -3 m'
_space_group_IT_number 221
_space_group_name_Hall '-P 4 2 3'
loop_
_atom_site_label
_atom_site_fract_x
_atom_site_fract_y
_atom_site_fract_z
_atom_site_occupancy
Rb1 0.000 0.000 0.000 1
Si1 0.500 0.500 0.500 1
W1 0.000 0.500 0.500 1
```

As for the total energy: -7.02 eV/atom. For the density of states at the Fermi level, the calculation gives 8.0 states/eV/f.u. For the uncorrected formation energy, the calculation gives 2.034 eV per atom. The total magnetic moment comes out at 1.2 μB per formula unit. For the excess energy over the best structure of this formula in the dataset, the calculation gives 0 meV per atom. The value obtained for the calculated volume is 21.3 A^3/atom.



Compound: RbSi2W
Source: the Alexandria database
Functional: PBE-GGA
Structure: relaxed

CIF file:
```
data_RbSi2W
_cell_length_a 6.791
_cell_length_b 6.791
_cell_length_c 6.791
_cell_angle_alpha 90.00
_cell_angle_beta 90.00
_cell_angle_gamma 90.00
_space_group_name_H-M_alt 'F m -3 m'
_space_group_IT_number 225
_space_group_name_Hall '-F 4 2 3'
loop_
_atom_site_label
_atom_site_fract_x
_atom_site_fract_y
_atom_site_fract_z
_atom_site_occupancy
Rb1 0.000 0.000 0.000 1
Si1 0.250 0.250 0.250 1
W1 0.000 0.000 0.500 1
```

As for the total energy: -4.86 eV/atom. For the density of states at the Fermi level, the calculation gives 3.6 states/eV/f.u. For the uncorrected formation energy, the calculation gives 1.328 eV per atom. The total magnetic moment comes out at 2.1 μB per formula unit. For the excess energy over the best structure of this formula in the dataset, the calculation gives 741 meV per atom. The value obtained for the calculated volume is 19.6 A^3/atom.



Compound: RbSiW3
Source: the Alexandria database
Functional: PBE-GGA
Structure: relaxed

CIF file:
```
data_RbSiW3
_cell_length_a 4.710
_cell_length_b 4.710
_cell_length_c 4.710
_cell_angle_alpha 90.00
_cell_angle_beta 90.00
_cell_angle_gamma 90.00
_space_group_name_H-M_alt 'P m -3 m'
_space_group_IT_number 221
_space_group_name_Hall '-P 4 2 3'
loop_
_atom_site_label
_atom_site_fract_x
_atom_site_fract_y
_atom_site_fract_z
_atom_site_occupancy
Rb1 0.000 0.000 0.000 1
Si1 0.500 0.500 0.500 1
W1 0.000 0.000 0.500 1
```

As for the total energy: -4.93 eV/atom. For the density of states at the Fermi level, the calculation gives 7.3 states/eV/f.u. For the uncorrected formation energy, the calculation gives 4.122 eV per atom. The total magnetic moment comes out at 0.0 μB per formula unit. For the excess energy over the best structure of this formula in the dataset, the calculation gives 2087 meV per atom. The value obtained for the calculated volume is 20.9 A^3/atom.



Compound: RbSi2W
Source: the Alexandria database
Functional: PBE-GGA
Structure: relaxed

CIF file:
```
data_RbSi2W
_cell_length_a 6.088
_cell_length_b 6.088
_cell_length_c 14.558
_cell_angle_alpha 90.00
_cell_angle_beta 90.00
_cell_angle_gamma 90.00
_space_group_name_H-M_alt 'I 41/a m d'
_space_group_IT_number 141
loop_
_space_group_symop_operation_xyz
'x,y,z'
'-x,-y,-z'
'-y+1/4,x+3/4,z+1/4'
'y+1/4,-x+3/4,-z+1/4'
'-x+1/2,-y,z+1/2'
'x+1/2,y,-z+1/2'
'y+1/4,-x+1/4,z+3/4'
'-y+1/4,x+1/4,-z+3/4'
'x,-y,-z'
'-x,y,z'
'-y+1/4,-x+1/4,-z+3/4'
'y+1/4,x+1/4,z+3/4'
'-x+1/2,y,-z+1/2'
'x+1/2,-y,z+1/2'
'y+1/4,x+3/4,-z+1/4'
'-y+1/4,-x+3/4,z+1/4'
'x+1/2,y+1/2,z+1/2'
'-x+1/2,-y+1/2,-z+1/2'
'-y+3/4,x+1/4,z+3/4'
'y+3/4,-x+1/4,-z+3/4'
'-x,-y+1/2,z'
'x,y+1/2,-z'
'y+3/4,-x+3/4,z+1/4'
'-y+3/4,x+3/4,-z+1/4'
'x+1/2,-y+1/2,-z+1/2'
'-x+1/2,y+1/2,z+1/2'
'-y+3/4,-x+3/4,-z+1/4'
'y+3/4,x+3/4,z+1/4'
'-x,y+1/2,-z'
'x,-y+1/2,z'
'y+3/4,x+1/4,-z+3/4'
'-y+3/4,-x+1/4,z+3/4'
loop_
_atom_site_label
_atom_site_fract_x
_atom_site_fract_y
_atom_site_fract_z
_atom_site_occupancy
Rb1 0.000 0.250 0.375 1
Si1 0.000 0.000 0.000 1
W1 0.000 0.250 0.875 1
```

As for the total energy: -5.60 eV/atom. For the density of states at the Fermi level, the calculation gives 2.9 states/eV/f.u. For the uncorrected formation energy, the calculation gives 0.588 eV per atom. The total magnetic moment comes out at 0.8 μB per formula unit. For the excess energy over the best structure of this formula in the dataset, the calculation gives 0 meV per atom. The value obtained for the calculated volume is 33.7 A^3/atom.